A geometry-optimized Cs7BiAu2F2 structure. Source: Alexandria, functional PBE-GGA.

Calculated values
For the calculated volume, the calculation gives 1178.0 Å³/cell. The calculation puts the uncorrected formation energy at -1.077 eV per atom. As for the uncorrected energy: -2.76 eV/atom.

Cell: 6.716 25.245 6.948 Å, 90.00 90.00 90.00°
Space group Imm2 (No. 44)
Inequivalent atoms, fractional coordinates:
Cs 0.000 0.000 0.000
Cs 0.000 0.096 0.531
Cs 0.000 0.219 0.061
Cs 0.000 0.403 0.594
Bi 0.000 0.500 0.102
Au 0.000 0.247 0.562
F 0.000 0.108 0.117



A geometry-optimized Rb2Pa2NiS6 structure. Source: Alexandria, functional PBE-GGA.

Calculated values
For the calculated volume, the calculation gives 654.2 Å³/cell. The calculation puts the uncorrected formation energy at -1.294 eV per atom. As for the uncorrected energy: -5.97 eV/atom.

Cell: 6.461 12.932 8.048 Å, 90.00 103.35 90.00°
Space group C2/m (No. 12)
Inequivalent atoms, fractional coordinates:
Rb 0.000 0.143 0.000
Pa 0.000 0.342 0.500
Ni 0.000 0.000 0.500
S 0.242 0.200 0.698
S 0.245 0.000 0.350



A geometry-optimized Rb3Hg8Sb3 structure. Source: Alexandria, functional PBE-GGA.

Calculated values
For the calculated volume, the calculation gives 890.1 Å³/cell. The calculation puts the uncorrected formation energy at -0.188 eV per atom. As for the uncorrected energy: -1.45 eV/atom.

Cell: 18.873 5.330 10.521 Å, 90.00 122.75 90.00°
Space group C2/m (No. 12)
Inequivalent atoms, fractional coordinates:
Rb 0.000 0.000 0.000
Rb 0.204 0.500 0.709
Hg 0.001 0.500 0.677
Hg 0.140 0.000 0.858
Hg 0.152 0.500 0.011
Hg 0.157 0.000 0.440
Sb 0.000 0.000 0.500
Sb 0.150 0.500 0.291



A geometry-optimized La3Pm3Al2Tl structure. Source: Alexandria, functional PBE-GGA.

Calculated values
For the calculated volume, the calculation gives 275.8 Å³/cell. The formation energy comes out at -1.88 eV per formula unit. As for the uncorrected energy: -4.53 eV/atom.

Cell: 9.1452 9.1452 3.8078 Å, 90.00 90.00 120.00°
Space group P-62m (No. 189)
Inequivalent atoms, fractional coordinates:
La 0.0000 0.2919 0.0000
Pm 0.0000 0.6088 0.5000
Al 0.3333 0.6667 0.0000
Tl 0.0000 0.0000 0.5000



A geometry-optimized Pr6Mg2Au structure. Source: Alexandria, functional PBE-GGA.

Calculated values
For the calculated volume, the calculation gives 583.9 Å³/cell. The formation energy comes out at -0.70 eV per formula unit. As for the uncorrected energy: -3.98 eV/atom.

Cell: 6.566 8.579 11.253 Å, 90.00 112.91 90.00°
Space group P2_1/c (No. 14)
Inequivalent atoms, fractional coordinates:
Pr 0.098 0.051 0.246
Pr 0.153 0.716 0.041
Pr 0.380 0.150 0.022
Mg 0.373 0.093 0.723
Au 0.500 0.000 0.500



A geometry-optimized LaPrIrPt structure. Source: Alexandria, functional PBE-GGA.

Calculated values
For the calculated volume, the calculation gives 377.6 Å³/cell. The calculation puts the energy above the most stable polymorph in this dataset at 0.090 eV/atom. The formation energy comes out at -3.27 eV per formula unit. As for the uncorrected energy: -6.97 eV/atom.

Cell: 7.228 7.228 7.228 Å, 90.00 90.00 90.00°
Space group F-43m (No. 216)
Inequivalent atoms, fractional coordinates:
La 0.000 0.000 0.000
Pr 0.000 0.000 0.500
Ir 0.250 0.250 0.750
Pt 0.250 0.250 0.250



Number 1: N(E_F) 0.031 states/eV/atom. Number 2: N(E_F) 0.149 states/eV/atom. Number 3: N(E_F) 0.357 states/eV/atom. Number 4: N(E_F) 0.949 states/eV/atom. Number 5: N(E_F) 1.331 states/eV/atom. Number 6: N(E_F) 0.444 states/eV/atom.